No. 1
BaTlS2N: relaxed, PBE.

## Properties
- energy (eV/cell) = -18.04
- uncorrected formation energy (kJ/mol of atoms) = 55

Lattice parameters (Å, degrees): 5.9857 5.9857 5.3411 90.00 90.00 90.00
Sites, in units of the cell vectors:
Ba 0.0000 0.0000 0.0000
Tl 0.5000 0.5000 0.5000
S 0.0000 0.5000 0.0000
S 0.5000 0.0000 0.0000
N 0.0000 0.0000 0.5000


No. 2
TmGe2P2Pt7: relaxed, PBE.

## Properties
- energy (eV/cell) = -74.29
- energy of formation from the pure elements (eV/atom) = -0.623

Lattice parameters (Å, degrees): 3.8857 3.8857 15.0962 97.24 97.24 89.59
Sites, in units of the cell vectors:
Tm 0.0000 0.0000 0.0000
Ge 0.2390 0.2390 0.4312
Ge 0.7610 0.7610 0.5688
P 0.3832 0.3832 0.7594
P 0.6168 0.6168 0.2406
Pt 0.0726 0.5727 0.1493
Pt 0.3169 0.3169 0.6036
Pt 0.4273 0.9274 0.8507
Pt 0.5000 0.5000 0.0000
Pt 0.5727 0.0726 0.1493
Pt 0.6831 0.6831 0.3964
Pt 0.9274 0.4273 0.8507


No. 3
Ag3HgBr6: relaxed, PBE.

## Properties
- energy (eV/cell) = -43.73
- uncorrected formation energy (kJ/mol of atoms) = -29

Lattice parameters (Å, degrees): 7.7845 6.9277 13.5759 90.00 123.75 90.00
Sites, in units of the cell vectors:
Ag 0.0000 0.0000 0.0000
Ag 0.0000 0.5000 0.5000
Ag 0.1703 0.0300 0.7415
Ag 0.1703 0.4700 0.2415
Ag 0.8297 0.5300 0.7585
Ag 0.8297 0.9700 0.2585
Hg 0.5000 0.0000 0.5000
Hg 0.5000 0.5000 0.0000
Br 0.1228 0.6387 0.7231
Br 0.1228 0.8613 0.2231
Br 0.2313 0.1970 0.5886
Br 0.2313 0.3030 0.0886
Br 0.4364 0.6907 0.5699
Br 0.4364 0.8093 0.0699
Br 0.5636 0.1907 0.9301
Br 0.5636 0.3093 0.4301
Br 0.7687 0.6970 0.9114
Br 0.7687 0.8030 0.4114
Br 0.8772 0.1387 0.7769
Br 0.8772 0.3613 0.2769


No. 4
Te2RhI: relaxed, PBE.

## Properties
- energy (eV/cell) = -14.90
- uncorrected formation energy (kJ/mol of atoms) = 7

Lattice parameters (Å, degrees): 3.4541 3.4541 11.7380 90.00 90.00 120.00
Sites, in units of the cell vectors:
Te 0.0000 0.0000 0.0000
Te 0.3333 0.6667 0.6379
Rh 0.0000 0.0000 0.7731
I 0.6667 0.3333 0.3398


No. 5
Cs2TiBr5: relaxed, PBE.

## Properties
- energy (eV/cell) = -30.15
- uncorrected formation energy (kJ/mol of atoms) = -147

Lattice parameters (Å, degrees): 7.9179 7.9179 5.2124 90.00 90.00 90.00
Sites, in units of the cell vectors:
Cs 0.0000 0.5000 0.0000
Cs 0.5000 0.0000 0.0000
Ti 0.0000 0.0000 0.5000
Br 0.0000 0.0000 0.0000
Br 0.2319 0.2319 0.5000
Br 0.2319 0.7681 0.5000
Br 0.7681 0.2319 0.5000
Br 0.7681 0.7681 0.5000


No. 6
La2Ge5Rh3: relaxed, PBE.

## Properties
- energy (eV/cell) = -127.03
- energy of formation from the pure elements (eV/atom) = -0.852

Lattice parameters (Å, degrees): 8.5450 8.5450 8.5450 106.44 88.45 138.07
Sites, in units of the cell vectors:
La 0.1329 0.2317 0.3646
La 0.3671 0.7317 0.0988
La 0.6329 0.2683 0.9012
La 0.8671 0.7683 0.6354
Ge 0.0253 0.7500 0.2753
Ge 0.1007 0.6570 0.7577
Ge 0.2500 0.2500 0.0000
Ge 0.3993 0.1570 0.5563
Ge 0.4747 0.7500 0.7247
Ge 0.5253 0.2500 0.2753
Ge 0.6007 0.8430 0.4437
Ge 0.7500 0.7500 0.0000
Ge 0.8993 0.3430 0.2423
Ge 0.9747 0.2500 0.7247
Rh 0.1399 0.8918 0.0317
Rh 0.2500 0.7500 0.5000
Rh 0.3601 0.3918 0.7518
Rh 0.6399 0.6082 0.2482
Rh 0.7500 0.2500 0.5000
Rh 0.8601 0.1082 0.9683


No. 7
ZrCuPdRh: relaxed, PBE.

## Properties
- energy (eV/cell) = -27.66
- energy of formation from the pure elements (eV/atom) = -0.619

Lattice parameters (Å, degrees): 3.7258 3.9540 4.2251 90.00 90.00 90.00
Sites, in units of the cell vectors:
Zr 0.0000 0.0000 0.0000
Cu 0.0000 0.5000 0.5000
Pd 0.5000 0.0000 0.5000
Rh 0.5000 0.5000 0.0000


No. 8
Mg2CrIn: relaxed, PBE.

## Properties
- energy (eV/cell) = -14.37
- energy of formation from the pure elements (eV/atom) = 0.296

Lattice parameters (Å, degrees): 9.9435 9.9435 9.9435 18.45 18.45 18.45
Sites, in units of the cell vectors:
Mg 0.2456 0.2456 0.2456
Mg 0.7544 0.7544 0.7544
Cr 0.5000 0.5000 0.5000
In 0.0000 0.0000 0.0000


No. 9
Dy2Al3GaPt4: relaxed, PBE.

## Properties
- energy (eV/cell) = -58.48
- energy of formation from the pure elements (eV/atom) = -1.086

Lattice parameters (Å, degrees): 4.1181 4.1181 10.8992 90.00 90.00 90.00
Sites, in units of the cell vectors:
Dy 0.0000 0.5000 0.2447
Dy 0.5000 0.0000 0.7553
Al 0.0000 0.0000 0.0000
Al 0.0000 0.5000 0.6320
Al 0.5000 0.0000 0.3680
Ga 0.5000 0.5000 0.0000
Pt 0.0000 0.0000 0.5000
Pt 0.0000 0.5000 0.8582
Pt 0.5000 0.0000 0.1418
Pt 0.5000 0.5000 0.5000


No. 10
LuPaHg2: relaxed, PBE.

## Properties
- energy (eV/cell) = -14.67
- energy of formation from the pure elements (eV/atom) = -0.012

Lattice parameters (Å, degrees): 4.7319 4.7319 4.4345 90.00 90.00 90.00
Sites, in units of the cell vectors:
Lu 0.0000 0.0000 0.0000
Pa 0.5000 0.5000 0.0000
Hg 0.0000 0.5000 0.5000
Hg 0.5000 0.0000 0.5000


No. 11
LuHfPa2: relaxed, PBE.

## Properties
- energy (eV/cell) = -32.52
- energy of formation from the pure elements (eV/atom) = 0.236

Lattice parameters (Å, degrees): 11.9781 11.9781 11.9781 15.07 15.07 15.07
Sites, in units of the cell vectors:
Lu 0.0000 0.0000 0.0000
Hf 0.5000 0.5000 0.5000
Pa 0.0879 0.0879 0.0879
Pa 0.9121 0.9121 0.9121


No. 12
Dy2Sc5Fe2: relaxed, PBE.

## Properties
- energy (eV/cell) = -115.74
- energy of formation from the pure elements (eV/atom) = -0.009

Lattice parameters (Å, degrees): 9.9203 9.9203 6.5983 90.00 90.00 39.16
Sites, in units of the cell vectors:
Dy 0.2310 0.2310 0.0000
Dy 0.2690 0.2690 0.5000
Dy 0.7310 0.7310 0.5000
Dy 0.7690 0.7690 0.0000
Sc 0.0000 0.0000 0.0000
Sc 0.0803 0.7140 0.6800
Sc 0.2140 0.5803 0.1800
Sc 0.2860 0.9197 0.6800
Sc 0.4197 0.7860 0.1800
Sc 0.5000 0.5000 0.5000
Sc 0.5803 0.2140 0.8200
Sc 0.7140 0.0803 0.3200
Sc 0.7860 0.4197 0.8200
Sc 0.9197 0.2860 0.3200
Fe 0.1158 0.8842 0.3887
Fe 0.3842 0.6158 0.8887
Fe 0.6158 0.3842 0.1113
Fe 0.8842 0.1158 0.6113


Spin magnetization
In order: 4.03 0.00 0.00 0.00 1.00 0.00 0.00 3.97 0.00 1.70 0.00 0.00
Unit: μB per formula unit